# MgTaOs2

An optimized crystal structure of MgTaOs2 (PBE-GGA, Alexandria via LeMat-Bulk).

Results
D(E_F) ... 3.5 states/eV/f.u.
Total magnetic moment ... 0.00 μB per formula unit
Formation energy from the elements ... 0.116 eV/atom

abc: 9.2226 9.2226 9.2226
angles: 17.76 17.76 17.76
Closest atoms and distances in Å follow each position.
Positions (direct):
Mg (0.0000, 0.0000, 0.0000)  6 Os 2.83, 6 Mg 2.85
Ta (0.5000, 0.5000, 0.5000)  6 Os 2.78, 6 Ta 2.85
Os (0.2488, 0.2488, 0.2488)  3 Ta 2.78, 3 Mg 2.83, 6 Os 2.85
Os (0.7512, 0.7512, 0.7512)  3 Ta 2.78, 3 Mg 2.83, 6 Os 2.85



# NbGaMo2Ir

An optimized crystal structure of NbGaMo2Ir (PBE-GGA, Alexandria via LeMat-Bulk).

Results
D(E_F) ... 7.0 states/eV/f.u.
Total magnetic moment ... 0.00 μB per formula unit
Formation energy from the elements ... 1.159 eV/atom

abc: 4.5614 4.5614 4.4596
angles: 90.00 90.00 90.00
Closest atoms and distances in Å follow each position.
Positions (direct):
Nb (0.0000, 0.0000, 0.0000)  8 Mo 3.19, 4 Ir 3.23
Ga (0.5000, 0.5000, 0.5000)  2 Ir 2.23, 4 Mo 2.28
Mo (0.0000, 0.5000, 0.5000)  2 Ga 2.28
Mo (0.5000, 0.0000, 0.5000)  2 Ga 2.28
Ir (0.5000, 0.5000, 0.0000)  2 Ga 2.23



# LiCe2DyAs4

An optimized crystal structure of LiCe2DyAs4 (PBE-GGA, Alexandria via LeMat-Bulk).

Results
D(E_F) ... 0.1 states/eV/f.u.
Total magnetic moment ... 0.25 μB per formula unit
Formation energy from the elements ... -1.149 eV/atom

abc: 7.0035 4.2027 7.2639
angles: 90.00 109.81 90.00
Closest atoms and distances in Å follow each position.
Positions (direct):
Li (0.0000, 0.0000, 0.0000)  6 As 2.92-2.97
Ce (0.5000, 0.0000, 0.5000)  6 As 2.91-2.92
Ce (0.5000, 0.5000, 0.0000)  6 As 2.91-2.94
Dy (0.0000, 0.5000, 0.5000)  6 As 2.93
As (0.2490, 0.0000, 0.7490)  3 Ce 2.92-2.94, 1 Li 2.92, 2 Dy 2.93
As (0.2568, 0.5000, 0.2542)  3 Ce 2.91, 1 Dy 2.93, 2 Li 2.97
As (0.7432, 0.5000, 0.7458)  3 Ce 2.91, 1 Dy 2.93, 2 Li 2.97
As (0.7510, 0.0000, 0.2510)  3 Ce 2.92-2.94, 1 Li 2.92, 2 Dy 2.93



# PrNpTe

An optimized crystal structure of PrNpTe (PBE-GGA, Alexandria via LeMat-Bulk).

Results
D(E_F) ... 5.4 states/eV/f.u.
Raw formation energy ... -1.14 eV per formula unit
Total magnetic moment ... 0.18 μB per formula unit

abc: 5.9051 5.9051 8.5876
angles: 110.77 110.77 35.54
Closest atoms and distances in Å follow each position.
Positions (direct):
Pr (0.0000, 0.0000, 0.0000)  1 Np 2.97, 4 Te 3.17-3.25
Pr (0.2067, 0.2067, 0.7433)  1 Np 3.05, 3 Te 3.32-3.34
Np (0.1488, 0.1488, 0.3673)  2 Np 2.40
Np (0.5056, 0.5056, 0.3576)  2 Np 2.40
Te (0.7590, 0.7590, 0.1072)  5 Pr 3.17-3.46, 4 Np 3.33-3.44
Te (0.8891, 0.8891, 0.5919)  4 Np 3.22-3.31, 4 Pr 3.25-3.34, 2 Te 3.60